A geometry-optimized CrCo6Ni3 structure. Source: Alexandria via LeMat-Bulk, functional PBE.

calculated formation energy = 0.32 eV per atom
magnetic moment = 8.860 μB per formula unit

Lattice parameters (Å, degrees): 3.8659 6.9557 8.8250 90.00 99.06 90.00
With the nearest neighbours (Å) after each atom.
Space group P2_1/c (No. 14)
One atom of each set of equivalent atoms:
Cr (0.0000, 0.0000, 0.0000) x2  4 Co 2.24-2.36
Co (0.0072, 0.1790, 0.5150) x4  1 Cr 2.24, 2 Ni 2.30-2.31, 5 Co 2.42-2.50
Co (0.0895, 0.0192, 0.2704) x4  1 Cr 2.36, 3 Ni 2.37-2.60, 4 Co 2.42-2.54
Co (0.4385, 0.6761, 0.3579) x4  4 Ni 2.33-2.57, 4 Co 2.42-2.54, 1 Cr 2.57
Ni (0.4423, 0.1743, 0.8649) x4  7 Co 2.33-2.60, 2 Cr 2.54-2.59, 1 Ni 2.55
Ni (0.5000, 0.0000, 0.5000) x2  8 Co 2.30-2.57, 2 Ni 2.55